(1)
20
Lattice="4.584 -5.815 0.000 4.584 5.815 0.000 -2.189 0.000 5.542" Properties=species:S:1:pos:R:3 comment="RbV2BO6, relaxed, DFT GGA+U" final_energy_ev_per_fu=-72.63 pbc="T T T"
Rb 2.943 3.880 4.156
Rb 4.037 -3.880 1.385
V 0.464 1.008 4.875
V 1.559 -1.008 2.104
V 5.421 1.008 3.437
V 6.515 -1.008 0.666
B 4.037 2.547 1.385
B 2.943 -2.547 4.156
O 2.806 3.383 1.360
O 1.694 0.091 0.636
O 0.599 -0.091 3.407
O 4.093 1.686 0.176
O 5.267 3.383 1.411
O 3.981 1.686 2.595
O 2.999 -1.686 2.946
O 1.712 -3.383 4.131
O 2.886 -1.686 5.366
O 6.380 0.091 2.135
O 5.286 -0.091 4.906
O 4.173 -3.383 4.181

***

(2)
11
Lattice="5.497 0.000 0.000 -0.016 5.594 0.000 -2.563 -2.513 4.465" Properties=species:S:1:pos:R:3 comment="RbV2B2O6, relaxed, DFT GGA+U" final_energy_ev_per_fu=-81.00 pbc="T T T"
Rb 0.000 0.000 0.000
V 0.124 2.227 2.917
V 2.794 0.854 1.547
B -0.126 -0.252 3.166
B 3.043 3.333 1.298
O -1.270 0.551 3.111
O -0.093 -1.460 3.833
O 0.992 0.324 2.567
O 1.926 2.757 1.897
O 3.010 4.541 0.632
O 4.188 2.530 1.353

***

(3)
5
Lattice="4.370 0.000 0.000 0.000 4.370 0.000 0.000 0.000 3.977" Properties=species:S:1:pos:R:3 comment="RbVB2O, relaxed, DFT GGA+U" final_energy_ev_per_fu=-23.20 pbc="T T T"
Rb 0.000 0.000 0.000
V 2.185 2.185 1.988
B 0.000 2.185 1.988
B 2.185 0.000 1.988
O 2.185 2.185 0.000

***

(4)
12
Lattice="5.236 0.000 0.000 -2.618 4.535 0.000 0.000 0.000 7.984" Properties=species:S:1:pos:R:3 comment="RbV2BO8, relaxed, DFT GGA+U" final_energy_ev_per_fu=-79.45 pbc="T T T"
Rb 0.000 0.000 0.000
V 0.000 3.023 5.511
V 2.618 1.512 2.473
B 0.000 0.000 3.992
O 0.000 1.355 4.947
O -1.445 3.857 4.947
O 1.173 0.677 3.037
O 0.000 3.023 7.185
O 2.618 1.512 0.799
O 1.445 3.857 4.947
O 4.063 0.677 3.037
O 2.618 3.180 3.037